# KSc2Tc | Alexandria via LeMat-Bulk | PBE-GGA | optimized geometry
# mass density	3211	kg/m3
data_KSc2Tc
_chemical_formula_sum 'K2 Sc4 Tc2'
_symmetry_space_group_name_H-M 'C 1 2/m 1'
_symmetry_Int_Tables_number 12
_cell_length_a 7.512
_cell_length_b 3.328
_cell_length_c 9.432
_cell_angle_alpha 90.00
_cell_angle_beta 95.26
_cell_angle_gamma 90.00
loop_
_symmetry_equiv_pos_as_xyz
'x,y,z'
'-x,-y,-z'
'-x,y,-z'
'x,-y,z'
'x+1/2,y+1/2,z'
'-x+1/2,-y+1/2,-z'
'-x+1/2,y+1/2,-z'
'x+1/2,-y+1/2,z'
loop_
_atom_site_label
_atom_site_type_symbol
_atom_site_fract_x
_atom_site_fract_y
_atom_site_fract_z
K1 K 0.000 0.000 0.000
Sc1 Sc 0.224 0.000 0.645
Tc1 Tc 0.000 0.500 0.500

=====

# KScTc2 | Alexandria via LeMat-Bulk | PBE-GGA | optimized geometry
# mass density	5926	kg/m3
# excess energy over the best structure of this formula in the dataset	921	meV/atom
data_KScTc2
_chemical_formula_sum 'K1 Sc1 Tc2'
_symmetry_space_group_name_H-M 'P 4/m m m'
_symmetry_Int_Tables_number 123
_symmetry_space_group_name_Hall '-P 4 2'
_cell_length_a 5.372
_cell_length_b 5.372
_cell_length_c 2.720
_cell_angle_alpha 90.00
_cell_angle_beta 90.00
_cell_angle_gamma 90.00
loop_
_atom_site_label
_atom_site_type_symbol
_atom_site_fract_x
_atom_site_fract_y
_atom_site_fract_z
K1 K 0.000 0.000 0.000
Sc1 Sc 0.500 0.500 0.000
Tc1 Tc 0.000 0.500 0.500

=====

# KScTc2 | Alexandria via LeMat-Bulk | PBE-GGA | optimized geometry
# mass density	4656	kg/m3
# excess energy over the best structure of this formula in the dataset	250	meV/atom
data_KScTc2
_chemical_formula_sum 'K1 Sc1 Tc2'
_symmetry_space_group_name_H-M 'P 4/m m m'
_symmetry_Int_Tables_number 123
_symmetry_space_group_name_Hall '-P 4 2'
_cell_length_a 3.618
_cell_length_b 3.618
_cell_length_c 7.632
_cell_angle_alpha 90.00
_cell_angle_beta 90.00
_cell_angle_gamma 90.00
loop_
_atom_site_label
_atom_site_type_symbol
_atom_site_fract_x
_atom_site_fract_y
_atom_site_fract_z
K1 K 0.000 0.000 0.000
Sc1 Sc 0.000 0.000 0.500
Tc1 Tc 0.500 0.500 0.355

=====

# KScTc2 | Alexandria via LeMat-Bulk | PBE-GGA | optimized geometry
# mass density	6240	kg/m3
# excess energy over the best structure of this formula in the dataset	635	meV/atom
data_KScTc2
_chemical_formula_sum 'K2 Sc2 Tc4'
_symmetry_space_group_name_H-M 'C m m m'
_symmetry_Int_Tables_number 65
_symmetry_space_group_name_Hall '-C 2 2'
_cell_length_a 5.466
_cell_length_b 10.355
_cell_length_c 2.634
_cell_angle_alpha 90.00
_cell_angle_beta 90.00
_cell_angle_gamma 90.00
loop_
_atom_site_label
_atom_site_type_symbol
_atom_site_fract_x
_atom_site_fract_y
_atom_site_fract_z
K1 K 0.000 0.000 0.000
Sc1 Sc 0.000 0.500 0.000
Tc1 Tc 0.250 0.250 0.500

=====

# KScTc2 | Alexandria via LeMat-Bulk | PBE-GGA | optimized geometry
# mass density	4741	kg/m3
# excess energy over the best structure of this formula in the dataset	182	meV/atom
data_KScTc2
_chemical_formula_sum 'K1 Sc1 Tc2'
_symmetry_space_group_name_H-M 'P 1 2/m 1'
_symmetry_Int_Tables_number 10
_cell_length_a 2.928
_cell_length_b 4.490
_cell_length_c 7.466
_cell_angle_alpha 90.00
_cell_angle_beta 91.94
_cell_angle_gamma 90.00
loop_
_symmetry_equiv_pos_as_xyz
'x,y,z'
'-x,-y,-z'
'-x,y,-z'
'x,-y,z'
loop_
_atom_site_label
_atom_site_type_symbol
_atom_site_fract_x
_atom_site_fract_y
_atom_site_fract_z
K1 K 0.000 0.000 0.000
Sc1 Sc 0.000 0.000 0.500
Tc1 Tc 0.487 0.500 0.352

=====

# K2ScTc | Alexandria via LeMat-Bulk | PBE-GGA | optimized geometry
# mass density	3349	kg/m3
# excess energy over the best structure of this formula in the dataset	686	meV/atom
data_K2ScTc
_chemical_formula_sum 'K4 Sc2 Tc2'
_symmetry_space_group_name_H-M 'I -4 m 2'
_symmetry_Int_Tables_number 119
_symmetry_space_group_name_Hall 'I -4 -2'
_cell_length_a 5.368
_cell_length_b 5.368
_cell_length_c 7.610
_cell_angle_alpha 90.00
_cell_angle_beta 90.00
_cell_angle_gamma 90.00
loop_
_atom_site_label
_atom_site_type_symbol
_atom_site_fract_x
_atom_site_fract_y
_atom_site_fract_z
K1 K 0.000 0.000 0.000
K2 K 0.000 0.500 0.250
Sc1 Sc 0.000 0.500 0.750
Tc1 Tc 0.000 0.000 0.500

=====

# KSc2Tc | Alexandria via LeMat-Bulk | PBE-GGA | optimized geometry
# mass density	2357	kg/m3
data_KSc2Tc
_chemical_formula_sum 'K4 Sc8 Tc4'
_symmetry_space_group_name_H-M 'I 41/a m d'
_symmetry_Int_Tables_number 141
_cell_length_a 7.673
_cell_length_b 7.673
_cell_length_c 10.868
_cell_angle_alpha 90.00
_cell_angle_beta 90.00
_cell_angle_gamma 90.00
loop_
_symmetry_equiv_pos_as_xyz
'x,y,z'
'-x,-y,-z'
'-y+1/4,x+3/4,z+1/4'
'y+1/4,-x+3/4,-z+1/4'
'-x+1/2,-y,z+1/2'
'x+1/2,y,-z+1/2'
'y+1/4,-x+1/4,z+3/4'
'-y+1/4,x+1/4,-z+3/4'
'x,-y,-z'
'-x,y,z'
'-y+1/4,-x+1/4,-z+3/4'
'y+1/4,x+1/4,z+3/4'
'-x+1/2,y,-z+1/2'
'x+1/2,-y,z+1/2'
'y+1/4,x+3/4,-z+1/4'
'-y+1/4,-x+3/4,z+1/4'
'x+1/2,y+1/2,z+1/2'
'-x+1/2,-y+1/2,-z+1/2'
'-y+3/4,x+1/4,z+3/4'
'y+3/4,-x+1/4,-z+3/4'
'-x,-y+1/2,z'
'x,y+1/2,-z'
'y+3/4,-x+3/4,z+1/4'
'-y+3/4,x+3/4,-z+1/4'
'x+1/2,-y+1/2,-z+1/2'
'-x+1/2,y+1/2,z+1/2'
'-y+3/4,-x+3/4,-z+1/4'
'y+3/4,x+3/4,z+1/4'
'-x,y+1/2,-z'
'x,-y+1/2,z'
'y+3/4,x+1/4,-z+3/4'
'-y+3/4,-x+1/4,z+3/4'
loop_
_atom_site_label
_atom_site_type_symbol
_atom_site_fract_x
_atom_site_fract_y
_atom_site_fract_z
K1 K 0.000 0.250 0.375
Sc1 Sc 0.000 0.000 0.000
Tc1 Tc 0.000 0.250 0.875

=====

# K2ScTc | Alexandria via LeMat-Bulk | PBE-GGA | optimized geometry
# mass density	3494	kg/m3
# excess energy over the best structure of this formula in the dataset	651	meV/atom
data_K2ScTc
_chemical_formula_sum 'K4 Sc2 Tc2'
_symmetry_space_group_name_H-M 'C m m m'
_symmetry_Int_Tables_number 65
_symmetry_space_group_name_Hall '-C 2 2'
_cell_length_a 3.405
_cell_length_b 4.877
_cell_length_c 12.659
_cell_angle_alpha 90.00
_cell_angle_beta 90.00
_cell_angle_gamma 90.00
loop_
_atom_site_label
_atom_site_type_symbol
_atom_site_fract_x
_atom_site_fract_y
_atom_site_fract_z
K1 K 0.000 0.000 0.222
Sc1 Sc 0.000 0.500 0.500
Tc1 Tc 0.000 0.500 0.000

=====

In order of appearance, spin magnetization = 0.00 0.00 0.00 0.29 0.00 1.18 0.00 0.00 μB per formula unit.
In order of appearance, ΔE_f = 0.2543 1.2995 0.6280 1.0139 0.5607 1.2367 0.6302 1.2023 eV/atom.